Record 1
A relaxed HoLuPb crystal. Source: Alexandria, functional PBE-GGA.

Unit cell a=5.2591 b=5.2591 c=3.6648 alpha=90.00 beta=90.00 gamma=120.00
Space group P3m1 (No. 156)
Asymmetric unit:
Ho (0.0000, 0.0000, 0.0000) (multiplicity 1)
Lu (0.3333, 0.6667, 0.5355) (multiplicity 1)
Pb (0.6667, 0.3333, 0.3119) (multiplicity 1)

Summary:
**DOS(E_F)**: 3.69 states/eV per cell
**Energy of formation**: -176 meV per atom
**Energy relative to the lowest polymorph listed for this composition**: 0.113 eV/atom
**Electronic total energy**: -4.4454 eV per atom
**V**: 87.78 Å³/cell



Record 2
A relaxed HoLuPb2 crystal. Source: Alexandria, functional PBE-GGA.

Unit cell a=5.042 b=5.042 c=4.361 alpha=90.00 beta=90.00 gamma=90.00
Space group P4/mmm (No. 123)
Asymmetric unit:
Ho (0.000, 0.000, 0.000) (multiplicity 1)
Lu (0.500, 0.500, 0.000) (multiplicity 1)
Pb (0.000, 0.500, 0.500) (multiplicity 2)

Summary:
**DOS(E_F)**: 3.47 states/eV per cell
**Energy of formation**: -366 meV per atom
**Electronic total energy**: -4.4946 eV per atom
**V**: 110.86 Å³/cell



Record 3
A relaxed HoLuPb crystal. Source: Alexandria, functional PBE-GGA.

Unit cell a=3.560 b=3.560 c=13.663 alpha=90.00 beta=90.00 gamma=90.00
Space group I4mm (No. 107)
Asymmetric unit:
Ho (0.000, 0.000, 0.000) (multiplicity 2)
Lu (0.000, 0.000, 0.675) (multiplicity 2)
Pb (0.000, 0.000, 0.336) (multiplicity 2)

Summary:
**DOS(E_F)**: 3.88 states/eV per cell
**Energy of formation**: -290 meV per atom
**Energy relative to the lowest polymorph listed for this composition**: 0.000 eV/atom
**Electronic total energy**: -4.5589 eV per atom
**V**: 173.20 Å³/cell



Record 4
A relaxed HoLuPb2 crystal. Source: Alexandria, functional PBE-GGA.

Unit cell a=7.655 b=7.655 c=7.655 alpha=90.00 beta=90.00 gamma=90.00
Space group Fm-3m (No. 225)
Asymmetric unit:
Ho (0.000, 0.000, 0.000) (multiplicity 4)
Lu (0.000, 0.000, 0.500) (multiplicity 4)
Pb (0.250, 0.250, 0.250) (multiplicity 8)

Summary:
**DOS(E_F)**: 9.77 states/eV per cell
**Energy of formation**: -323 meV per atom
**Electronic total energy**: -4.4521 eV per atom
**V**: 448.66 Å³/cell



Record 5
A relaxed PmHoLuPb crystal. Source: Alexandria, functional PBE-GGA.

Unit cell a=7.766 b=7.766 c=7.766 alpha=90.00 beta=90.00 gamma=90.00
Space group F-43m (No. 216)
Asymmetric unit:
Pm (0.000, 0.000, 0.000) (multiplicity 4)
Ho (0.000, 0.000, 0.500) (multiplicity 4)
Lu (0.250, 0.250, 0.750) (multiplicity 4)
Pb (0.250, 0.250, 0.250) (multiplicity 4)

Summary:
**DOS(E_F)**: 28.89 states/eV per cell
**Energy of formation**: -116 meV per atom
**Electronic total energy**: -4.5057 eV per atom
**V**: 468.41 Å³/cell



Record 6
A relaxed HoLuRuPb crystal. Source: Alexandria, functional PBE-GGA.

Unit cell a=7.151 b=7.151 c=7.151 alpha=90.00 beta=90.00 gamma=90.00
Space group F-43m (No. 216)
Asymmetric unit:
Ho (0.000, 0.000, 0.000) (multiplicity 4)
Lu (0.000, 0.000, 0.500) (multiplicity 4)
Ru (0.250, 0.250, 0.750) (multiplicity 4)
Pb (0.250, 0.250, 0.250) (multiplicity 4)

Summary:
**DOS(E_F)**: 8.43 states/eV per cell
**Energy of formation**: -283 meV per atom
**Electronic total energy**: -5.8040 eV per atom
**V**: 365.72 Å³/cell